No. 1
Entry from Alexandria via LeMat-Bulk: a relaxed structure of LaTaHg2 (GGA-PBE).

```
4
Lattice="5.5302 -0.0129 -0.0096 -1.8847 5.1992 -0.0096 0.0068 0.0097 3.2111" Properties=species:S:1:pos:R:3 pbc="T T T"
Hg 1.8227 2.5931 -0.0096
Hg 0.0000 0.0000 0.0000
La 2.7685 -0.0016 1.6008
Ta -0.9390 2.6044 1.6008
```

Properties
Total energy, eV for the cell shown: -16.49
Energy of formation, eV per atom: 0.223
Magnetization, μB/f.u.: 0.00
Relative energy among the computed polymorphs, kJ/mol of formula units: 42.2

***

No. 2
Entry from Alexandria via LeMat-Bulk: a relaxed structure of LaTaHg2 (GGA-PBE).

```
4
Lattice="5.2039 0.0000 0.0000 2.6020 4.5067 0.0000 2.6020 1.5022 4.2490" Properties=species:S:1:pos:R:3 pbc="T T T"
La 5.2039 3.0045 2.1245
Hg 0.0000 0.0000 0.0000
Hg 2.6020 1.5022 1.0622
Ta 7.8059 4.5067 3.1867
```

Properties
Total energy, eV for the cell shown: -15.29
Energy of formation, eV per atom: 0.523
Magnetization, μB/f.u.: 3.19
Relative energy among the computed polymorphs, kJ/mol of formula units: 158.2

***

No. 3
Entry from Alexandria via LeMat-Bulk: a relaxed structure of LaTa2Hg (GGA-PBE).

```
4
Lattice="-4.7379 -2.7347 1.5184 -2.0584 -3.5186 -3.9515 5.0890 0.8391 2.3727" Properties=species:S:1:pos:R:3 pbc="T T T"
Ta -3.3982 -3.1266 -1.2166
Ta 0.0000 0.0000 0.0000
La -1.5235 -2.5111 1.3372
Hg -0.1838 -2.9031 -1.3977
```

Properties
Total energy, eV for the cell shown: -26.67
Energy of formation, eV per atom: 0.566
Magnetization, μB/f.u.: 0.00

***

No. 4
Entry from Alexandria via LeMat-Bulk: a relaxed structure of LaTa2Hg (GGA-PBE).

```
4
Lattice="-1.8161 -2.4050 1.7475 2.6949 -2.1964 -0.2221 2.7907 2.7484 6.6828" Properties=species:S:1:pos:R:3 pbc="T T T"
La 2.5798 -0.1927 5.8883
Hg 1.2826 1.2632 3.0714
Ta 1.0461 -1.7032 2.2157
Ta 0.1563 0.1539 0.3742
```

Properties
Total energy, eV for the cell shown: -28.17
Energy of formation, eV per atom: 0.191
Magnetization, μB/f.u.: 0.00

***

No. 5
Entry from Alexandria via LeMat-Bulk: a relaxed structure of LaTa2Hg (GGA-PBE).

```
4
Lattice="-3.8165 7.0522 6.1666 -5.8942 7.3840 3.6139 -6.4538 5.0715 5.9122" Properties=species:S:1:pos:R:3 pbc="T T T"
La -12.0837 14.5828 11.7310
Ta -15.9514 19.2504 15.4858
Ta -4.1289 4.9829 4.0084
Hg -8.2473 9.9530 8.0066
```

Properties
Total energy, eV for the cell shown: -27.42
Energy of formation, eV per atom: 0.377
Magnetization, μB/f.u.: 0.00

***

No. 6
Entry from Alexandria via LeMat-Bulk: a relaxed structure of LaTaHg4 (GGA-PBE).

```
6
Lattice="-4.2969 -3.3047 2.2638 -5.5028 2.0493 0.1686 -4.1006 -2.3015 -3.5210" Properties=species:S:1:pos:R:3 pbc="T T T"
La -10.4252 -2.6677 -0.8164
Hg -5.2041 -1.3317 -0.4076
Ta 0.0000 0.0000 0.0000
Hg -7.3631 -2.9921 0.7299
Hg -7.2644 -2.4880 -2.1766
Hg -7.9690 -0.3020 -0.3228
```

Properties
Total energy, eV for the cell shown: -16.36
Energy of formation, eV per atom: 0.270
Magnetization, μB/f.u.: 2.53

***

No. 7
Entry from Alexandria via LeMat-Bulk: a relaxed structure of LaTaHg2 (GGA-PBE).

```
4
Lattice="-5.0726 4.8649 -8.0751 -5.8511 1.8405 -8.7740 -7.6047 3.4995 -6.6729" Properties=species:S:1:pos:R:3 pbc="T T T"
Ta -13.8963 7.6537 -17.6414
Hg -9.1175 5.0217 -11.5747
Hg -0.1467 0.0808 -0.1862
La -4.6321 2.5512 -5.8805
```

Properties
Total energy, eV for the cell shown: -16.26
Energy of formation, eV per atom: 0.281
Magnetization, μB/f.u.: 0.40
Relative energy among the computed polymorphs, kJ/mol of formula units: 64.7

***

No. 8
Entry from Alexandria via LeMat-Bulk: a relaxed structure of LaTa2Hg (GGA-PBE).

```
4
Lattice="-1.4194 2.4961 -0.7657 -0.7799 0.4264 2.8357 8.3549 5.2153 1.5137" Properties=species:S:1:pos:R:3 pbc="T T T"
Ta 0.2476 0.1546 0.0449
Hg 3.9605 2.4722 0.7176
Ta 0.9572 2.7452 1.4076
La 5.1677 5.3735 2.1705
```

Properties
Total energy, eV for the cell shown: -27.76
Energy of formation, eV per atom: 0.293
Magnetization, μB/f.u.: 0.00

***

No. 9
Entry from Alexandria via LeMat-Bulk: a relaxed structure of LaTaHg2 (GGA-PBE).

```
4
Lattice="4.9700 -1.2480 -0.6448 1.9488 -4.1524 2.3736 1.2767 -4.1831 -2.7471" Properties=species:S:1:pos:R:3 pbc="T T T"
Hg 6.1467 -7.1876 -0.7637
La 0.0000 0.0000 0.0000
Hg 2.0489 -2.3959 -0.2546
Ta 4.0978 -4.7918 -0.5091
```

Properties
Total energy, eV for the cell shown: -16.23
Energy of formation, eV per atom: 0.288
Magnetization, μB/f.u.: 0.00
Relative energy among the computed polymorphs, kJ/mol of formula units: 67.2

***

No. 10
Entry from Alexandria via LeMat-Bulk: a relaxed structure of LaTaHg2 (GGA-PBE).

```
4
Lattice="3.4334 0.0000 0.0000 0.0000 4.1526 0.0000 0.0000 0.0000 6.9487" Properties=species:S:1:pos:R:3 pbc="T T T"
Hg 1.7167 2.0763 1.5467
Hg 0.0000 0.0000 6.7481
Ta 1.7167 2.0763 5.5562
La 0.0000 0.0000 3.5208
```

Properties
Total energy, eV for the cell shown: -16.31
Energy of formation, eV per atom: 0.269
Magnetization, μB/f.u.: 0.00
Relative energy among the computed polymorphs, kJ/mol of formula units: 59.9

***

No. 11
Entry from Alexandria via LeMat-Bulk: a relaxed structure of LaTa2Hg (GGA-PBE).

```
4
Lattice="5.7550 0.0149 0.0000 -2.4130 5.2247 0.0000 0.0000 0.0000 2.9306" Properties=species:S:1:pos:R:3 pbc="T T T"
La -1.2065 2.6123 1.4653
Ta 1.6710 2.6198 0.0000
Hg 2.8775 0.0074 1.4653
Ta 0.0000 0.0000 0.0000
```

Properties
Total energy, eV for the cell shown: -26.27
Energy of formation, eV per atom: 0.666
Magnetization, μB/f.u.: 0.00

***

No. 12
Entry from Alexandria via LeMat-Bulk: a relaxed structure of LaTaHg2 (GGA-PBE).

```
4
Lattice="5.5158 -0.0092 -0.0018 4.6037 3.0381 -0.0018 1.0216 0.3058 5.7626" Properties=species:S:1:pos:R:3 pbc="T T T"
Hg 5.6722 1.6978 2.6850
Ta 2.7853 0.8337 1.4398
La 8.3558 2.5010 4.3193
Hg 10.0178 2.9985 0.1910
```

Properties
Total energy, eV for the cell shown: -16.35
Energy of formation, eV per atom: 0.258
Magnetization, μB/f.u.: 0.00
Relative energy among the computed polymorphs, kJ/mol of formula units: 55.8